The following is a DFT calculation (PBE) of a geometry-optimized RbTlV2Br8 structure.

POSCAR file:
```
RbTlV2Br8
1.0
3.6334 2.0978 10.2027
-3.6334 2.0978 10.2027
0.0000 -4.1955 10.2027
Rb Tl V Br
1 1 2 8
direct
0.0000 0.0000 0.0000 Rb
0.5000 0.5000 0.5000 Tl
0.2563 0.2563 0.2563 V
0.7437 0.7437 0.7437 V
0.0529 0.8177 0.4351 Br
0.1823 0.5649 0.9471 Br
0.3337 0.3337 0.3337 Br
0.4351 0.0529 0.8177 Br
0.5649 0.9471 0.1823 Br
0.6663 0.6663 0.6663 Br
0.8177 0.4351 0.0529 Br
0.9471 0.1823 0.5649 Br
```

Properties
space group: R-3 (148)
formation energy (no corrections): -978 meV/atom
crystal system: trigonal